# 1
# Cs2ZnH6Au, optimized geometry, DFT PBE
data_Cs2ZnH6Au
_chemical_formula_sum 'Cs4 Zn2 H12 Au2'
_space_group_name_H-M_alt 'I 4/m m m'
_space_group_IT_number 139
_space_group_name_Hall '-I 4 2'
_cell_length_a 5.866
_cell_length_b 5.866
_cell_length_c 9.820
_cell_angle_alpha 90.00
_cell_angle_beta 90.00
_cell_angle_gamma 90.00
loop_
_atom_site_label
_atom_site_type_symbol
_atom_site_fract_x
_atom_site_fract_y
_atom_site_fract_z
Cs1 Cs 0.000 0.500 0.250
Zn1 Zn 0.000 0.000 0.000
H1 H 0.000 0.000 0.161
H2 H 0.210 0.210 0.500
Au1 Au 0.000 0.000 0.500
# Magnetic moment = 0.00 μB per atom
# Raw total energy = -27.171 eV per formula unit

# 2
# Cs2ZnHAu, optimized geometry, DFT PBE
data_Cs2ZnHAu
_chemical_formula_sum 'Cs4 Zn2 H2 Au2'
_space_group_name_H-M_alt 'P 1 21/m 1'
_space_group_IT_number 11
_cell_length_a 7.209
_cell_length_b 4.858
_cell_length_c 10.584
_cell_angle_alpha 90.00
_cell_angle_beta 108.35
_cell_angle_gamma 90.00
loop_
_space_group_symop_operation_xyz
'x,y,z'
'-x,-y,-z'
'-x,y+1/2,-z'
'x,-y+1/2,z'
loop_
_atom_site_label
_atom_site_type_symbol
_atom_site_fract_x
_atom_site_fract_y
_atom_site_fract_z
Cs1 Cs 0.208 0.250 0.388
Cs2 Cs 0.258 0.750 0.030
Zn1 Zn 0.239 0.250 0.742
H1 H 0.060 0.250 0.822
Au1 Au 0.334 0.750 0.713
# Magnetic moment = 0.00 μB per atom
# Raw total energy = -10.375 eV per formula unit

# 3
# Cs3HfAu, optimized geometry, DFT PBE
data_Cs3HfAu
_chemical_formula_sum 'Cs3 Hf1 Au1'
_space_group_name_H-M_alt 'P m -3 m'
_space_group_IT_number 221
_space_group_name_Hall '-P 4 2 3'
_cell_length_a 6.833
_cell_length_b 6.833
_cell_length_c 6.833
_cell_angle_alpha 90.00
_cell_angle_beta 90.00
_cell_angle_gamma 90.00
loop_
_atom_site_label
_atom_site_type_symbol
_atom_site_fract_x
_atom_site_fract_y
_atom_site_fract_z
Cs1 Cs 0.000 0.000 0.500
Hf1 Hf 0.500 0.500 0.500
Au1 Au 0.000 0.000 0.000
# Magnetic moment = 0.80 μB per atom
# Raw total energy = -11.392 eV per formula unit

# 4
# CsHfAu3, optimized geometry, DFT PBE
data_CsHfAu3
_chemical_formula_sum 'Cs1 Hf1 Au3'
_space_group_name_H-M_alt 'P m -3 m'
_space_group_IT_number 221
_space_group_name_Hall '-P 4 2 3'
_cell_length_a 5.703
_cell_length_b 5.703
_cell_length_c 5.703
_cell_angle_alpha 90.00
_cell_angle_beta 90.00
_cell_angle_gamma 90.00
loop_
_atom_site_label
_atom_site_type_symbol
_atom_site_fract_x
_atom_site_fract_y
_atom_site_fract_z
Cs1 Cs 0.000 0.000 0.000
Hf1 Hf 0.500 0.500 0.500
Au1 Au 0.000 0.000 0.500
# Magnetic moment = 0.30 μB per atom
# Raw total energy = -11.832 eV per formula unit

# 5
# CsHfAu3, optimized geometry, DFT PBE
data_CsHfAu3
_chemical_formula_sum 'Cs1 Hf1 Au3'
_space_group_name_H-M_alt 'P m -3 m'
_space_group_IT_number 221
_space_group_name_Hall '-P 4 2 3'
_cell_length_a 5.437
_cell_length_b 5.437
_cell_length_c 5.437
_cell_angle_alpha 90.00
_cell_angle_beta 90.00
_cell_angle_gamma 90.00
loop_
_atom_site_label
_atom_site_type_symbol
_atom_site_fract_x
_atom_site_fract_y
_atom_site_fract_z
Cs1 Cs 0.000 0.000 0.000
Hf1 Hf 0.500 0.500 0.500
Au1 Au 0.000 0.500 0.500
# Magnetic moment = 0.00 μB per atom
# Raw total energy = -20.478 eV per formula unit

# 6
# CsHf2HgAu, optimized geometry, DFT PBE
data_CsHf2HgAu
_chemical_formula_sum 'Cs1 Hf2 Hg1 Au1'
_space_group_name_H-M_alt 'P 4/m m m'
_space_group_IT_number 123
_space_group_name_Hall '-P 4 2'
_cell_length_a 5.328
_cell_length_b 5.328
_cell_length_c 5.656
_cell_angle_alpha 90.00
_cell_angle_beta 90.00
_cell_angle_gamma 90.00
loop_
_atom_site_label
_atom_site_type_symbol
_atom_site_fract_x
_atom_site_fract_y
_atom_site_fract_z
Cs1 Cs 0.000 0.000 0.000
Hf1 Hf 0.000 0.500 0.500
Hg1 Hg 0.500 0.500 0.000
Au1 Au 0.500 0.500 0.500
# Magnetic moment = 0.17 μB per atom
# Raw total energy = -20.137 eV per formula unit

Which of these has the lowest raw total energy?
Cs2ZnH6Au

Which value of magnetic moment does entry 3 give?
0.80 μB per atom

What is the magnetic moment in the third record?
0.80 μB per atom

What did the third record say?
# Cs3HfAu, optimized geometry, DFT PBE
data_Cs3HfAu
_chemical_formula_sum 'Cs3 Hf1 Au1'
_space_group_name_H-M_alt 'P m -3 m'
_space_group_IT_number 221
_space_group_name_Hall '-P 4 2 3'
_cell_length_a 6.833
_cell_length_b 6.833
_cell_length_c 6.833
_cell_angle_alpha 90.00
_cell_angle_beta 90.00
_cell_angle_gamma 90.00
loop_
_atom_site_label
_atom_site_type_symbol
_atom_site_fract_x
_atom_site_fract_y
_atom_site_fract_z
Cs1 Cs 0.000 0.000 0.500
Hf1 Hf 0.500 0.500 0.500
Au1 Au 0.000 0.000 0.000
# Magnetic moment = 0.80 μB per atom
# Raw total energy = -11.392 eV per formula unit